# 1
# Ta5Cu PBE optimized geometry
# Energy of formation ... 75 kJ/mol of formula units
# E_tot ... -62.59 eV per cell
# DOS(E_F) ... 1.240 states/eV per atom
# Energy above the lowest structure with this stoichiometry ... 60 meV/atom
data_Ta5Cu
_cell_length_a 2.787
_cell_length_b 2.787
_cell_length_c 13.514
_cell_angle_alpha 90.00
_cell_angle_beta 90.00
_cell_angle_gamma 90.00
_symmetry_space_group_name_H-M 'P 4/m m m'
_symmetry_Int_Tables_number 123
_symmetry_space_group_name_Hall '-P 4 2'
loop_
_atom_site_label
_atom_site_type_symbol
_atom_site_fract_x
_atom_site_fract_y
_atom_site_fract_z
Ta1 Ta 0.000 0.000 0.000
Ta2 Ta 0.000 0.000 0.353
Ta3 Ta 0.500 0.500 0.179
Cu1 Cu 0.500 0.500 0.500

# 2
# TaCu PBE optimized geometry
# Energy of formation ... 70 kJ/mol of formula units
# E_tot ... -121.75 eV per cell
# DOS(E_F) ... 0.763 states/eV per atom
data_TaCu
_cell_length_a 9.900
_cell_length_b 9.900
_cell_length_c 2.654
_cell_angle_alpha 90.00
_cell_angle_beta 90.00
_cell_angle_gamma 90.00
_symmetry_space_group_name_H-M 'I 4/m'
_symmetry_Int_Tables_number 87
_symmetry_space_group_name_Hall '-I 4'
loop_
_atom_site_label
_atom_site_type_symbol
_atom_site_fract_x
_atom_site_fract_y
_atom_site_fract_z
Ta1 Ta 0.116 0.350 0.000
Cu1 Cu 0.078 0.846 0.000

# 3
# TaCu4 PBE optimized geometry
# Energy of formation ... 799 kJ/mol of formula units
# E_tot ... -19.95 eV per cell
# DOS(E_F) ... 0.543 states/eV per atom
data_TaCu4
_cell_length_a 4.763
_cell_length_b 4.763
_cell_length_c 4.763
_cell_angle_alpha 90.00
_cell_angle_beta 90.00
_cell_angle_gamma 90.00
_symmetry_space_group_name_H-M 'P m -3 m'
_symmetry_Int_Tables_number 221
_symmetry_space_group_name_Hall '-P 4 2 3'
loop_
_atom_site_label
_atom_site_type_symbol
_atom_site_fract_x
_atom_site_fract_y
_atom_site_fract_z
Ta1 Ta 0.000 0.000 0.000
Cu1 Cu 0.000 0.000 0.500
Cu2 Cu 0.500 0.500 0.500

# 4
# TaCu4 PBE optimized geometry
# Energy of formation ... 151 kJ/mol of formula units
# E_tot ... -53.34 eV per cell
# DOS(E_F) ... 0.843 states/eV per atom
data_TaCu4
_cell_length_a 3.444
_cell_length_b 3.444
_cell_length_c 11.638
_cell_angle_alpha 90.00
_cell_angle_beta 90.00
_cell_angle_gamma 90.00
_symmetry_space_group_name_H-M 'I 4/m m m'
_symmetry_Int_Tables_number 139
_symmetry_space_group_name_Hall '-I 4 2'
loop_
_atom_site_label
_atom_site_type_symbol
_atom_site_fract_x
_atom_site_fract_y
_atom_site_fract_z
Ta1 Ta 0.000 0.000 0.000
Cu1 Cu 0.000 0.000 0.399
Cu2 Cu 0.000 0.500 0.250

# 5
# Ta2Cu PBE optimized geometry
# Energy of formation ... 38 kJ/mol of formula units
# E_tot ... -54.82 eV per cell
# DOS(E_F) ... 0.596 states/eV per atom
data_Ta2Cu
_cell_length_a 2.983
_cell_length_b 3.614
_cell_length_c 9.180
_cell_angle_alpha 90.00
_cell_angle_beta 90.00
_cell_angle_gamma 90.00
_symmetry_space_group_name_H-M 'I m m m'
_symmetry_Int_Tables_number 71
_symmetry_space_group_name_Hall '-I 2 2'
loop_
_atom_site_label
_atom_site_type_symbol
_atom_site_fract_x
_atom_site_fract_y
_atom_site_fract_z
Ta1 Ta 0.000 0.000 0.161
Cu1 Cu 0.000 0.000 0.500

# 6
# TaCu PBE optimized geometry
# Energy of formation ... 94 kJ/mol of formula units
# E_tot ... -59.88 eV per cell
# DOS(E_F) ... 1.181 states/eV per atom
data_TaCu
_cell_length_a 4.1459
_cell_length_b 4.1459
_cell_length_c 8.6634
_cell_angle_alpha 90.00
_cell_angle_beta 90.00
_cell_angle_gamma 120.00
_symmetry_space_group_name_H-M 'P 63/m m c'
_symmetry_Int_Tables_number 194
_symmetry_space_group_name_Hall '-P 6c 2c'
loop_
_atom_site_label
_atom_site_type_symbol
_atom_site_fract_x
_atom_site_fract_y
_atom_site_fract_z
Ta1 Ta 0.3333 0.6667 0.0911
Cu1 Cu 0.0000 0.0000 0.2500
Cu2 Cu 0.3333 0.6667 0.7500

# 7
# TaCu5 PBE optimized geometry
# Energy of formation ... 38 kJ/mol of formula units
# E_tot ... -31.94 eV per cell
# DOS(E_F) ... 0.480 states/eV per atom
data_TaCu5
_cell_length_a 2.746
_cell_length_b 2.746
_cell_length_c 10.322
_cell_angle_alpha 90.00
_cell_angle_beta 90.00
_cell_angle_gamma 90.00
_symmetry_space_group_name_H-M 'P 4/m m m'
_symmetry_Int_Tables_number 123
_symmetry_space_group_name_Hall '-P 4 2'
loop_
_atom_site_label
_atom_site_type_symbol
_atom_site_fract_x
_atom_site_fract_y
_atom_site_fract_z
Ta1 Ta 0.000 0.000 0.000
Cu1 Cu 0.000 0.000 0.345
Cu2 Cu 0.500 0.500 0.189
Cu3 Cu 0.500 0.500 0.500

# 8
# TaCu PBE optimized geometry
# Energy of formation ... 61 kJ/mol of formula units
# E_tot ... -61.25 eV per cell
# DOS(E_F) ... 0.910 states/eV per atom
data_TaCu
_cell_length_a 5.000
_cell_length_b 5.000
_cell_length_c 5.000
_cell_angle_alpha 90.00
_cell_angle_beta 90.00
_cell_angle_gamma 90.00
_symmetry_space_group_name_H-M 'P 21 3'
_symmetry_Int_Tables_number 198
_symmetry_space_group_name_Hall 'P 2ac 2ab 3'
loop_
_atom_site_label
_atom_site_type_symbol
_atom_site_fract_x
_atom_site_fract_y
_atom_site_fract_z
Ta1 Ta 0.092 0.092 0.092
Cu1 Cu 0.099 0.599 0.901

# 9
# Ta4Cu PBE optimized geometry
# Energy of formation ... 574 kJ/mol of formula units
# E_tot ... -45.56 eV per cell
# DOS(E_F) ... 1.528 states/eV per atom
# Energy above the lowest structure with this stoichiometry ... 1074 meV/atom
data_Ta4Cu
_cell_length_a 4.623
_cell_length_b 4.623
_cell_length_c 4.623
_cell_angle_alpha 90.00
_cell_angle_beta 90.00
_cell_angle_gamma 90.00
_symmetry_space_group_name_H-M 'P m -3 m'
_symmetry_Int_Tables_number 221
_symmetry_space_group_name_Hall '-P 4 2 3'
loop_
_atom_site_label
_atom_site_type_symbol
_atom_site_fract_x
_atom_site_fract_y
_atom_site_fract_z
Ta1 Ta 0.000 0.000 0.000
Ta2 Ta 0.000 0.500 0.500
Cu1 Cu 0.500 0.500 0.500

# 10
# TaCu PBE optimized geometry
# Energy of formation ... 49 kJ/mol of formula units
# E_tot ... -15.44 eV per cell
# DOS(E_F) ... 0.918 states/eV per atom
data_TaCu
_cell_length_a 2.7985
_cell_length_b 2.7985
_cell_length_c 4.6214
_cell_angle_alpha 90.00
_cell_angle_beta 90.00
_cell_angle_gamma 120.00
_symmetry_space_group_name_H-M 'P -6 m 2'
_symmetry_Int_Tables_number 187
_symmetry_space_group_name_Hall 'P -6 2'
loop_
_atom_site_label
_atom_site_type_symbol
_atom_site_fract_x
_atom_site_fract_y
_atom_site_fract_z
Ta1 Ta 0.0000 0.0000 0.0000
Cu1 Cu 0.6667 0.3333 0.5000

# 11
# TbTaCu PBE optimized geometry
# Energy of formation ... 41 kJ/mol of formula units
# E_tot ... -40.31 eV per cell
# DOS(E_F) ... 0.520 states/eV per atom
data_TbTaCu
_cell_length_a 3.226
_cell_length_b 3.226
_cell_length_c 11.385
_cell_angle_alpha 90.00
_cell_angle_beta 90.00
_cell_angle_gamma 90.00
_symmetry_space_group_name_H-M 'P 4/m m m'
_symmetry_Int_Tables_number 123
_symmetry_space_group_name_Hall '-P 4 2'
loop_
_atom_site_label
_atom_site_type_symbol
_atom_site_fract_x
_atom_site_fract_y
_atom_site_fract_z
Tb1 Tb 0.000 0.000 0.173
Ta1 Ta 0.500 0.500 0.368
Cu1 Cu 0.000 0.000 0.500
Cu2 Cu 0.500 0.500 0.000

# 12
# TaCuTc2 PBE optimized geometry
# Energy of formation ... 44 kJ/mol of formula units
# E_tot ... -72.45 eV per cell
# DOS(E_F) ... 0.922 states/eV per atom
# Energy above the lowest structure with this stoichiometry ... 137 meV/atom
data_TaCuTc2
_cell_length_a 3.186
_cell_length_b 4.345
_cell_length_c 8.728
_cell_angle_alpha 90.00
_cell_angle_beta 90.00
_cell_angle_gamma 90.00
_symmetry_space_group_name_H-M 'I m m m'
_symmetry_Int_Tables_number 71
_symmetry_space_group_name_Hall '-I 2 2'
loop_
_atom_site_label
_atom_site_type_symbol
_atom_site_fract_x
_atom_site_fract_y
_atom_site_fract_z
Ta1 Ta 0.000 0.000 0.000
Cu1 Cu 0.000 0.000 0.500
Tc1 Tc 0.000 0.500 0.258

# 13
# TaCuTc2 PBE optimized geometry
# Energy of formation ... 55 kJ/mol of formula units
# E_tot ... -144.44 eV per cell
# DOS(E_F) ... 0.950 states/eV per atom
# Energy above the lowest structure with this stoichiometry ... 165 meV/atom
data_TaCuTc2
_cell_length_a 6.213
_cell_length_b 6.213
_cell_length_c 6.213
_cell_angle_alpha 90.00
_cell_angle_beta 90.00
_cell_angle_gamma 90.00
_symmetry_space_group_name_H-M 'F -4 3 m'
_symmetry_Int_Tables_number 216
_symmetry_space_group_name_Hall 'F -4 2 3'
loop_
_atom_site_label
_atom_site_type_symbol
_atom_site_fract_x
_atom_site_fract_y
_atom_site_fract_z
Ta1 Ta 0.000 0.000 0.000
Cu1 Cu 0.250 0.250 0.750
Tc1 Tc 0.000 0.000 0.500
Tc2 Tc 0.250 0.250 0.250

# 14
# TaCu4Tc PBE optimized geometry
# Energy of formation ... 43 kJ/mol of formula units
# E_tot ... -152.62 eV per cell
# DOS(E_F) ... 1.148 states/eV per atom
data_TaCu4Tc
_cell_length_a 6.801
_cell_length_b 6.801
_cell_length_c 6.801
_cell_angle_alpha 90.00
_cell_angle_beta 90.00
_cell_angle_gamma 90.00
_symmetry_space_group_name_H-M 'F -4 3 m'
_symmetry_Int_Tables_number 216
_symmetry_space_group_name_Hall 'F -4 2 3'
loop_
_atom_site_label
_atom_site_type_symbol
_atom_site_fract_x
_atom_site_fract_y
_atom_site_fract_z
Ta1 Ta 0.000 0.000 0.000
Cu1 Cu 0.125 0.125 0.375
Tc1 Tc 0.250 0.250 0.750